VASP calculation (PBE) on a relaxed BaLiMg2 crystal. Values from VASP.

The structure in Quantum ESPRESSO input format:
```
&SYSTEM
  ibrav = 0, nat = 16, ntyp = 3
/
ATOMIC_SPECIES
Ba 137.33 Ba.upf
Li 6.94 Li.upf
Mg 24.30 Mg.upf
CELL_PARAMETERS angstrom
5.4571 0.0000 0.0000
0.0000 7.8539 0.0000
0.0000 0.0000 12.0219
ATOMIC_POSITIONS crystal
Ba 0.2500 0.2448 0.6618
Li 0.7500 0.4408 0.8837
Ba 0.2500 0.7448 0.8382
Ba 0.7500 0.7552 0.3382
Li 0.7500 0.9408 0.6163
Mg 0.7500 0.2564 0.4586
Li 0.2500 0.0592 0.3837
Ba 0.7500 0.2552 0.1618
Mg 0.7500 0.5671 0.6289
Mg 0.2500 0.2436 0.9586
Mg 0.7500 0.7564 0.0414
Mg 0.2500 0.9329 0.1289
Mg 0.2500 0.7436 0.5414
Mg 0.2500 0.4329 0.3711
Li 0.2500 0.5592 0.1163
Mg 0.7500 0.0671 0.8711
```

Output
* ΔE to the lowest computed polymorph: 0.041 eV per atom
* SG: Pnma (62)
* total energy: -1.760 eV/atom
* DOS at the Fermi energy: 0.881 states/eV per atom

VASP calculation (PBE) on a relaxed Ba2BiB2 crystal. Values from VASP.

The structure in Quantum ESPRESSO input format:
```
&SYSTEM
  ibrav = 0, nat = 5, ntyp = 3
/
ATOMIC_SPECIES
Ba 137.33 Ba.upf
B 10.81 B.upf
Bi 208.98 Bi.upf
CELL_PARAMETERS angstrom
5.2355 0.0000 0.0000
0.0000 5.2355 0.0000
2.6177 2.6177 5.2441
ATOMIC_POSITIONS crystal
Ba 0.2500 0.7500 0.5000
B 0.4245 0.4245 0.1510
Ba 0.7500 0.2500 0.5000
Bi 0.0000 0.0000 0.0000
B 0.5755 0.5755 0.8490
```

Output
* ΔE to the lowest computed polymorph: 0.192 eV per atom
* SG: I4/mmm (139)
* total energy: -3.849 eV/atom
* DOS at the Fermi energy: 0.489 states/eV per atom

VASP calculation (PBE) on a relaxed Nd3Ge4Ru2 crystal. Values from VASP.

The structure in Quantum ESPRESSO input format:
```
&SYSTEM
  ibrav = 0, nat = 9, ntyp = 3
/
ATOMIC_SPECIES
Nd 144.24 Nd.upf
Ge 72.64 Ge.upf
Ru 101.07 Ru.upf
CELL_PARAMETERS angstrom
4.3926 0.0000 0.0000
-2.1963 5.5521 -0.1712
0.0000 -2.4808 8.0110
ATOMIC_POSITIONS crystal
Nd 0.0000 0.0000 0.0000
Ge 0.7121 0.4241 0.0811
Nd 0.3808 0.7616 0.3025
Ru 0.6868 0.3735 0.3619
Nd 0.6192 0.2384 0.6975
Ge 0.8985 0.7970 0.5975
Ru 0.3132 0.6265 0.6381
Ge 0.1015 0.2030 0.4025
Ge 0.2879 0.5759 0.9189
```

Output
* SG: C2/m (12)
* total energy: -6.428 eV/atom
* DOS at the Fermi energy: 0.561 states/eV per atom

VASP calculation (PBE) on a relaxed CeTh2Tl crystal. Values from VASP.

The structure in Quantum ESPRESSO input format:
```
&SYSTEM
  ibrav = 0, nat = 4, ntyp = 3
/
ATOMIC_SPECIES
Th 232.04 Th.upf
Tl 204.38 Tl.upf
Ce 140.12 Ce.upf
CELL_PARAMETERS angstrom
-1.8931 -1.2540 -2.4886
1.4620 -1.5274 -2.6227
-0.7832 -11.6707 4.1965
ATOMIC_POSITIONS crystal
Th 0.0890 0.0890 0.7330
Tl 0.5000 0.5000 0.5000
Th 0.9110 0.9110 0.2670
Ce 0.0000 0.0000 0.0000
```

Output
* ΔE to the lowest computed polymorph: 0.253 eV per atom
* SG: R-3m (166)
* total energy: -5.602 eV/atom
* DOS at the Fermi energy: 1.693 states/eV per atom

VASP calculation (PBE) on a relaxed BaEr2Pu crystal. Values from VASP.

The structure in Quantum ESPRESSO input format:
```
&SYSTEM
  ibrav = 0, nat = 4, ntyp = 3
/
ATOMIC_SPECIES
Er 167.26 Er.upf
Ba 137.33 Ba.upf
Pu 244.00 Pu.upf
CELL_PARAMETERS angstrom
-0.8081 -3.1447 1.4222
2.1782 -1.4861 2.3690
-5.7382 4.2753 10.6101
ATOMIC_POSITIONS crystal
Er 0.0951 0.0951 0.7148
Ba 0.0000 0.0000 0.0000
Er 0.9049 0.9049 0.2852
Pu 0.5000 0.5000 0.5000
```

Output
* SG: R-3m (166)
* total energy: -6.023 eV/atom
* DOS at the Fermi energy: 2.685 states/eV per atom

VASP calculation (PBE) on a relaxed LaAl2CdAg4 crystal. Values from VASP.

The structure in Quantum ESPRESSO input format:
```
&SYSTEM
  ibrav = 0, nat = 8, ntyp = 4
/
ATOMIC_SPECIES
Ag 107.87 Ag.upf
Cd 112.41 Cd.upf
Al 26.98 Al.upf
La 138.91 La.upf
CELL_PARAMETERS angstrom
-2.0836 -3.2738 -2.3657
1.2302 -4.3396 0.5563
-6.6517 -3.4602 6.2814
ATOMIC_POSITIONS crystal
Ag 0.5992 0.5992 0.2024
Cd 0.5000 0.5000 0.5000
Al 0.2491 0.2491 0.2526
Ag 0.1239 0.1239 0.6282
Al 0.7509 0.7509 0.7474
La 0.0000 0.0000 0.0000
Ag 0.4008 0.4008 0.7976
Ag 0.8761 0.8761 0.3718
```

Output
* SG: R-3m (166)
* total energy: -3.240 eV/atom
* DOS at the Fermi energy: 0.737 states/eV per atom